Compound: HfTcPt2
Source: Alexandria via LeMat-Bulk
Functional: GGA-PBE
Structure: optimized geometry

Cell lengths 6.482, 6.482, 6.482 Å; angles 90.00, 90.00, 90.00 degrees
Space group Fm-3m (No. 225)
Symmetry-distinct sites (fractional):
Hf1 0.000 0.000 0.000 x4
Tc1 0.000 0.000 0.500 x4
Pt1 0.250 0.250 0.250 x8

Properties
Total DFT energy (no corrections) (eV/atom): -8.454
Distance to the lowest polymorph of the same formula (eV/atom): 0.376
Formation energy (eV per formula unit): -1.416
V (Å³ per cell): 272.4

***

Compound: CeYTcPd
Source: Alexandria via LeMat-Bulk
Functional: GGA-PBE
Structure: optimized geometry

Cell lengths 6.974, 6.974, 6.974 Å; angles 90.00, 90.00, 90.00 degrees
Space group F-43m (No. 216)
Symmetry-distinct sites (fractional):
Ce1 0.000 0.000 0.000 x4
Y1 0.000 0.000 0.500 x4
Tc1 0.250 0.250 0.750 x4
Pd1 0.250 0.250 0.250 x4

Properties
Total DFT energy (no corrections) (eV/atom): -7.340
Formation energy (eV per formula unit): -1.403
V (Å³ per cell): 339.3

***

Compound: YMn2Cu
Source: Alexandria via LeMat-Bulk
Functional: GGA-PBE
Structure: optimized geometry

Cell lengths 3.318, 4.598, 9.281 Å; angles 90.00, 90.00, 90.00 degrees
Space group Immm (No. 71)
Symmetry-distinct sites (fractional):
Y1 0.000 0.000 0.000 x2
Mn1 0.000 0.500 0.223 x4
Cu1 0.000 0.000 0.500 x2

Properties
Total DFT energy (no corrections) (eV/atom): -6.958
Distance to the lowest polymorph of the same formula (eV/atom): 0.229
Formation energy (eV per formula unit): 1.066
V (Å³ per cell): 141.6

***

Compound: CuBr
Source: Alexandria via LeMat-Bulk
Functional: GGA-PBE
Structure: optimized geometry

Cell lengths 3.8560, 3.8560, 22.9373 Å; angles 90.00, 90.00, 120.00 degrees
Space group R-3m (No. 166, hexagonal axes)
Symmetry-distinct sites (fractional):
Cu1 0.0000 0.0000 0.1328 x6
Br1 0.0000 0.0000 0.4201 x6

Properties
Total DFT energy (no corrections) (eV/atom): -3.064
Formation energy from raw total energies (eV/atom): -0.180
V (Å³ per cell): 295.4

***

Compound: CuH
Source: Alexandria via LeMat-Bulk
Functional: GGA-PBE
Structure: optimized geometry

Cell lengths 2.613, 2.528, 4.924 Å; angles 90.00, 102.58, 90.00 degrees
Space group P2_1/m (No. 11)
Symmetry-distinct sites (fractional):
Cu1 0.150 0.250 0.267 x2
H1 0.348 0.250 0.748 x2

Properties
Total DFT energy (no corrections) (eV/atom): -3.499
V (Å³ per cell): 31.7

***

Compound: Bi2AuN
Source: Alexandria via LeMat-Bulk
Functional: GGA-PBE
Structure: optimized geometry

Cell lengths 6.181, 6.181, 10.927 Å; angles 90.00, 90.00, 90.00 degrees
Space group I-42d (No. 122)
Symmetry-distinct sites (fractional):
Bi1 0.191 0.250 0.125 x8
Au1 0.000 0.000 0.500 x4
N1 0.000 0.000 0.000 x4

Properties
Total DFT energy (no corrections) (eV/atom): -4.360
Formation energy from raw total energies (eV/atom): 0.481
V (Å³ per cell): 417.5

***

Compound: Mn3BeTl
Source: Alexandria via LeMat-Bulk
Functional: GGA-PBE
Structure: optimized geometry

Cell lengths 5.048, 5.048, 5.048 Å; angles 90.00, 90.00, 90.00 degrees
Space group Pm-3m (No. 221)
Symmetry-distinct sites (fractional):
Mn1 0.000 0.000 0.500 x3
Be1 0.500 0.500 0.500 x1
Tl1 0.000 0.000 0.000 x1

Properties
Total DFT energy (no corrections) (eV/atom): -4.995
Distance to the lowest polymorph of the same formula (eV/atom): 1.234
Formation energy (eV per formula unit): 8.625
V (Å³ per cell): 128.6

***

Compound: RbNa2TiF6
Source: Alexandria via LeMat-Bulk
Functional: GGA-PBE
Structure: optimized geometry

Cell lengths 6.105, 6.197, 10.426 Å; angles 90.00, 124.78, 90.00 degrees
Space group P2_1/c (No. 14)
Symmetry-distinct sites (fractional):
Rb1 0.000 0.000 0.000 x2
Na1 0.248 0.013 0.714 x4
Ti1 0.500 0.000 0.500 x2
F1 0.168 0.117 0.470 x4
F2 0.290 0.747 0.382 x4
F3 0.424 0.150 0.303 x4

Properties
Total DFT energy (no corrections) (eV/atom): -5.277
Formation energy from raw total energies (eV/atom): -3.004
V (Å³ per cell): 324.0